Entry 1:
This record from OQMD via LeMat-Bulk describes a geometry-optimized Pr2ErMg3In2Hg structure. The functional is PBE.

Properties
- Energy: -3.150 eV/atom
- Space-group type: Amm2
- Magnetic moment: 0.001 μB per atom

Cell lengths 4.7064, 7.5954, 7.5954 Å; angles 118.82, 90.00, 90.00 degrees
Last column: nearest neighbours and their distance in Å.
Element x y z (fractional)
Mg (0.5000, 0.2368, 0.2368)  2 In 2.95, 2 Hg 3.04, 2 Mg 3.17
Mg (0.5000, 0.7608, 0.0001)  2 Hg 2.95, 2 In 2.97-3.01, 2 Mg 3.13-3.17
Mg (0.5000, 0.0001, 0.7608)  2 Hg 2.95, 2 In 2.97-3.01, 2 Mg 3.13-3.17
Hg (0.0000, 0.9881, 0.9881)  6 Mg 2.95-3.04, 1 Er 3.12, 2 Pr 3.23
Pr (0.0000, 0.0029, 0.4204)  1 Hg 3.23, 4 In 3.32, 4 Mg 3.50-3.61
Pr (0.0000, 0.4204, 0.0029)  1 Hg 3.23, 4 In 3.32, 4 Mg 3.50-3.61
In (0.5000, 0.6653, 0.3414)  3 Mg 2.95-3.01, 2 Er 3.23
In (0.5000, 0.3414, 0.6653)  3 Mg 2.95-3.01, 2 Er 3.23
Er (0.0000, 0.5843, 0.5843)  1 Hg 3.12, 4 In 3.23

Entry 2:
This record from OQMD via LeMat-Bulk describes a geometry-optimized ErTm2Mg3In2Hg structure. The functional is PBE.

Properties
- Energy: -3.046 eV/atom
- Space-group type: Amm2
- Magnetic moment: 0.000 μB per atom

Cell lengths 4.5762, 7.4588, 7.4588 Å; angles 120.11, 90.00, 90.00 degrees
Last column: nearest neighbours and their distance in Å.
Element x y z (fractional)
In (0.5000, 0.6673, 0.3331)  3 Mg 2.90, 4 Tm 3.19, 2 Er 3.20
In (0.5000, 0.3331, 0.6673)  3 Mg 2.90, 4 Tm 3.19, 2 Er 3.20
Tm (0.0000, 0.5774, 0.0002)  1 Hg 3.15, 4 In 3.19, 2 Mg 3.41
Tm (0.0000, 0.0002, 0.5774)  1 Hg 3.15, 4 In 3.19, 2 Mg 3.41
Mg (0.5000, 0.7606, 0.7606)  2 Hg 2.90, 2 In 2.90, 2 Mg 3.09
Mg (0.5000, 0.2392, 0.0000)  2 In 2.90, 2 Hg 2.90, 2 Mg 3.09
Mg (0.5000, 0.0000, 0.2392)  2 In 2.90, 2 Hg 2.90, 2 Mg 3.09
Er (0.0000, 0.4232, 0.4232)  1 Hg 3.16, 4 In 3.20, 2 Mg 3.40
Hg (0.0000, 0.9991, 0.9991)  6 Mg 2.90, 2 Tm 3.15, 1 Er 3.16

Entry 3:
This record from OQMD via LeMat-Bulk describes a geometry-optimized Er2TmMg3In2Hg structure. The functional is PBE.

Properties
- Energy: -3.061 eV/atom
- Space-group type: Amm2
- Magnetic moment: 0.000 μB per atom

Cell lengths 4.5801, 7.4584, 7.4584 Å; angles 119.89, 90.00, 90.00 degrees
Last column: nearest neighbours and their distance in Å.
Element x y z (fractional)
In (0.5000, 0.6665, 0.3340)  3 Mg 2.90-2.91, 2 Tm 3.19, 4 Er 3.20
In (0.5000, 0.3340, 0.6665)  3 Mg 2.90-2.91, 2 Tm 3.19, 4 Er 3.20
Mg (0.5000, 0.7607, 0.0000)  2 Hg 2.90, 2 In 2.90-2.91, 2 Mg 3.09
Mg (0.5000, 0.2392, 0.2392)  2 In 2.90, 2 Hg 2.91, 2 Mg 3.09
Mg (0.5000, 0.0000, 0.7607)  2 Hg 2.90, 2 In 2.90-2.91, 2 Mg 3.09
Er (0.0000, 0.4229, 0.0002)  1 Hg 3.16, 4 In 3.20, 2 Mg 3.40
Er (0.0000, 0.0002, 0.4229)  1 Hg 3.16, 4 In 3.20, 2 Mg 3.40
Tm (0.0000, 0.5776, 0.5776)  1 Hg 3.15, 4 In 3.19, 2 Mg 3.41
Hg (0.0000, 0.9991, 0.9991)  6 Mg 2.90-2.91, 1 Tm 3.15, 2 Er 3.16

Entry 4:
This record from OQMD via LeMat-Bulk describes a geometry-optimized ErInHgS3 structure. The functional is PBE.

Properties
- Energy: -4.306 eV/atom
- Space-group type: Cmcm
- Magnetic moment: 0.001 μB per atom

Cell lengths 7.7997, 7.7997, 10.4504 Å; angles 90.00, 90.00, 29.39 degrees
Last column: nearest neighbours and their distance in Å.
Element x y z (fractional)
Hg (0.3268, 0.3268, 0.2500)  2 S 2.47
Hg (0.6732, 0.6732, 0.7500)  2 S 2.47
S (0.3779, 0.3779, 0.4744)  1 Hg 2.47, 2 Er 2.72
S (0.3779, 0.3779, 0.0256)  1 Hg 2.47, 2 Er 2.72
S (0.6221, 0.6221, 0.5256)  1 Hg 2.47, 2 Er 2.72
S (0.9486, 0.9486, 0.7500)  2 In 2.68, 2 Er 2.73
S (0.0514, 0.0514, 0.2500)  2 In 2.68, 2 Er 2.73
S (0.6221, 0.6221, 0.9744)  1 Hg 2.47, 2 Er 2.72
In (0.3289, 0.3289, 0.7500)  4 S 2.68-2.97
In (0.6711, 0.6711, 0.2500)  4 S 2.68-2.97
Er (0.0000, 0.0000, 0.0000)  6 S 2.72-2.73
Er (0.0000, 0.0000, 0.5000)  6 S 2.72-2.73

Entry 5:
This record from OQMD via LeMat-Bulk describes a geometry-optimized ErInHgSe3 structure. The functional is PBE.

Properties
- Energy: -3.878 eV/atom
- Space-group type: Cmcm
- Magnetic moment: 0.000 μB per atom

Cell lengths 7.5230, 7.5230, 10.9697 Å; angles 90.00, 90.00, 32.34 degrees
Last column: nearest neighbours and their distance in Å.
Element x y z (fractional)
Hg (0.4532, 0.4532, 0.2500)  4 Se 2.62-2.76
Hg (0.5468, 0.5468, 0.7500)  4 Se 2.62-2.76
Er (0.0000, 0.0000, 0.0000)  6 Se 2.89-2.96
Er (0.0000, 0.0000, 0.5000)  6 Se 2.89-2.96
Se (0.3655, 0.3655, 0.0407)  1 Hg 2.62, 2 Er 2.89
Se (0.0774, 0.0774, 0.2500)  2 Hg 2.76, 2 Er 2.96
Se (0.6345, 0.6345, 0.9593)  1 Hg 2.62, 2 Er 2.89
Se (0.9226, 0.9226, 0.7500)  2 Hg 2.76, 2 Er 2.96
Se (0.6345, 0.6345, 0.5407)  1 Hg 2.62, 2 Er 2.89
Se (0.3655, 0.3655, 0.4593)  1 Hg 2.62, 2 Er 2.89
In (0.2540, 0.2540, 0.7500)  8 Se 3.21-3.57
In (0.7460, 0.7460, 0.2500)  8 Se 3.21-3.57

Entry 6:
This record from OQMD via LeMat-Bulk describes a geometry-optimized Er4Hg5Ir2 structure. The functional is PBE.

Properties
- Space-group type: P2/m
- Formation energy from the elements: -0.560 eV per atom
- Magnetic moment: 0.000 μB per atom

Cell lengths 7.6481, 3.5707, 9.5112 Å; angles 90.00, 94.97, 90.00 degrees
Last column: nearest neighbours and their distance in Å.
Element x y z (fractional)
Hg (0.8311, 0.0000, 0.8569)  1 Ir 2.92, 2 Hg 2.98-3.23, 2 Er 3.22
Hg (0.1689, 0.0000, 0.1431)  1 Ir 2.92, 2 Hg 2.98-3.23, 2 Er 3.22
Hg (0.5000, 0.0000, 0.0000)  4 Hg 2.98-3.16, 4 Er 3.25
Hg (0.5393, 0.0000, 0.3335)  1 Ir 2.90, 2 Hg 3.16-3.23
Hg (0.4607, 0.0000, 0.6665)  1 Ir 2.90, 2 Hg 3.16-3.23
Ir (0.9198, 0.0000, 0.3593)  6 Er 2.74-2.91, 1 Ir 2.85, 2 Hg 2.90-2.92
Ir (0.0802, 0.0000, 0.6407)  6 Er 2.74-2.91, 1 Ir 2.85, 2 Hg 2.90-2.92
Er (0.1805, 0.5000, 0.8512)  2 Ir 2.74
Er (0.7874, 0.5000, 0.5616)  4 Ir 2.87-2.91
Er (0.8195, 0.5000, 0.1488)  2 Ir 2.74
Er (0.2126, 0.5000, 0.4384)  4 Ir 2.87-2.91

Entry 7:
This record from OQMD via LeMat-Bulk describes a geometry-optimized KErHg structure. The functional is PBE.

Properties
- Space-group type: F-43m
- Offset from the most stable computed form: 0.0 meV per atom
- Magnetic moment: 0.151 μB per atom

Cell lengths 5.2861, 5.2861, 5.2861 Å; angles 60.00, 60.00, 60.00 degrees
Last column: nearest neighbours and their distance in Å.
Element x y z (fractional)
K (0.7500, 0.7500, 0.7500)  4 Er 3.24
Hg (0.2500, 0.2500, 0.2500)  4 Er 3.24
Er (0.0000, 0.0000, 0.0000)  4 Hg 3.24, 4 K 3.24

Entry 8:
This record from OQMD via LeMat-Bulk describes a geometry-optimized LaErHg structure. The functional is PBE.

Properties
- Space-group type: F-43m
- Formation energy from the elements: -0.105 eV per atom
- Offset from the most stable computed form: 0.0 meV per atom
- Magnetic moment: 0.043 μB per atom

Cell lengths 5.2031, 5.2031, 5.2031 Å; angles 60.00, 60.00, 60.00 degrees
Last column: nearest neighbours and their distance in Å.
Element x y z (fractional)
Hg (0.0000, 0.0000, 0.0000)  4 La 3.19, 4 Er 3.19
La (0.7500, 0.7500, 0.7500)  4 Hg 3.19
Er (0.2500, 0.2500, 0.2500)  4 Hg 3.19

Entry 9:
This record from OQMD via LeMat-Bulk describes a geometry-optimized LaErHg6 structure. The functional is PBE.

Properties
- Space-group type: P-6m2
- Formation energy from the elements: -0.362 eV per atom
- Magnetic moment: 0.001 μB per atom

Cell lengths 6.6717, 6.6717, 5.0507 Å; angles 90.00, 90.00, 120.00 degrees
Last column: nearest neighbours and their distance in Å.
Element x y z (fractional)
Hg (0.9888, 0.4944, 0.0000)  8 Hg 3.16-3.45, 2 La 3.22, 2 Er 3.34
Hg (0.5056, 0.4944, 0.0000)  8 Hg 3.16-3.45, 2 La 3.22, 2 Er 3.34
Hg (0.8350, 0.6700, 0.5000)  8 Hg 3.16-3.37, 2 Er 3.16, 2 La 3.34
Hg (0.8350, 0.1650, 0.5000)  8 Hg 3.16-3.37, 2 Er 3.16, 2 La 3.34
Hg (0.3300, 0.1650, 0.5000)  8 Hg 3.16-3.37, 2 Er 3.16, 2 La 3.34
Hg (0.5056, 0.0112, 0.0000)  8 Hg 3.16-3.45, 2 La 3.22, 2 Er 3.34
Er (0.0000, 0.0000, 0.0000)  12 Hg 3.16-3.34
La (0.3333, 0.6667, 0.5000)  12 Hg 3.22-3.34

Entry 10:
This record from OQMD via LeMat-Bulk describes a geometry-optimized LiErMgHg structure. The functional is PBE.

Properties
- Energy: -2.393 eV/atom
- Space-group type: F-43m
- Magnetic moment: 0.000 μB per atom

Cell lengths 4.9366, 4.9366, 4.9366 Å; angles 60.00, 60.00, 60.00 degrees
Last column: nearest neighbours and their distance in Å.
Element x y z (fractional)
Hg (0.5000, 0.5000, 0.5000)  4 Mg 3.02, 4 Er 3.02
Mg (0.2500, 0.2500, 0.2500)  4 Hg 3.02, 4 Li 3.02
Er (0.7500, 0.7500, 0.7500)  4 Li 3.02, 4 Hg 3.02
Li (0.0000, 0.0000, 0.0000)  4 Er 3.02, 4 Mg 3.02

Entry 11:
This record from OQMD via LeMat-Bulk describes a geometry-optimized LiErHgO3 structure. The functional is PBE.

Properties
- Energy: -5.040 eV/atom
- Space-group type: Cmcm
- Magnetic moment: 0.002 μB per atom

Cell lengths 5.4130, 5.4130, 8.4246 Å; angles 90.00, 90.00, 41.03 degrees
Last column: nearest neighbours and their distance in Å.
Element x y z (fractional)
Er (0.0000, 0.0000, 0.0000)  4 O 2.17-2.24
Er (0.0000, 0.0000, 0.5000)  4 O 2.17-2.24
O (0.9258, 0.9258, 0.7500)  2 Li 2.08, 2 Er 2.24
O (0.0742, 0.0742, 0.2500)  2 Li 2.08, 2 Er 2.24
O (0.8002, 0.8002, 0.4075)  1 Li 1.96, 1 Er 2.17
O (0.1998, 0.1998, 0.5925)  1 Li 1.96, 1 Er 2.17
O (0.1998, 0.1998, 0.9075)  1 Li 1.96, 1 Er 2.17
O (0.8002, 0.8002, 0.0925)  1 Li 1.96, 1 Er 2.17
Hg (0.6682, 0.6682, 0.7500)  5 O 2.34-2.61, 2 Li 2.59
Hg (0.3318, 0.3318, 0.2500)  5 O 2.34-2.61, 2 Li 2.59
Li (0.3426, 0.3426, 0.7500)  4 O 1.96-2.08
Li (0.6574, 0.6574, 0.2500)  4 O 1.96-2.08

Entry 12:
This record from OQMD via LeMat-Bulk describes a geometry-optimized LiErHgTe3 structure. The functional is PBE.

Properties
- Energy: -3.491 eV/atom
- Space-group type: Pnma
- Magnetic moment: 0.001 μB per atom

Cell lengths 11.5742, 4.3014, 14.6027 Å; angles 90.00, 90.00, 90.00 degrees
Last column: nearest neighbours and their distance in Å.
Element x y z (fractional)
Li (0.2131, 0.7500, 0.5401)  2 Te 3.00
Li (0.7869, 0.2500, 0.4599)  2 Te 3.00
Li (0.2869, 0.2500, 0.0401)  2 Te 3.00
Li (0.7131, 0.7500, 0.9599)  2 Te 3.00
Te (0.7551, 0.2500, 0.1478)  2 Hg 2.85
Te (0.0625, 0.7500, 0.1043)  1 Hg 2.80, 2 Er 3.06
Te (0.9375, 0.2500, 0.8957)  1 Hg 2.80, 2 Er 3.06
Te (0.2449, 0.7500, 0.8522)  2 Hg 2.85
Te (0.5528, 0.2500, 0.8928)  1 Hg 2.84, 2 Li 3.00, 2 Er 3.11
Te (0.5625, 0.7500, 0.3957)  1 Hg 2.80, 2 Er 3.06
Te (0.7449, 0.7500, 0.6478)  2 Hg 2.85
Te (0.4375, 0.2500, 0.6043)  1 Hg 2.80, 2 Er 3.06
Te (0.2551, 0.2500, 0.3522)  2 Hg 2.85
Te (0.4472, 0.7500, 0.1072)  1 Hg 2.84, 2 Li 3.00, 2 Er 3.11
Te (0.0528, 0.2500, 0.6072)  1 Hg 2.84, 2 Li 3.00, 2 Er 3.11
Te (0.9472, 0.7500, 0.3928)  1 Hg 2.84, 2 Li 3.00, 2 Er 3.11
Hg (0.7486, 0.2500, 0.7757)  4 Te 2.80-2.85
Hg (0.2486, 0.2500, 0.7243)  4 Te 2.80-2.85
Hg (0.7514, 0.7500, 0.2757)  4 Te 2.80-2.85
Hg (0.2514, 0.7500, 0.2243)  4 Te 2.80-2.85
Er (0.9949, 0.7500, 0.7540)  6 Te 3.06-3.28
Er (0.4949, 0.7500, 0.7460)  6 Te 3.06-3.28
Er (0.5051, 0.2500, 0.2540)  6 Te 3.06-3.28
Er (0.0051, 0.2500, 0.2460)  6 Te 3.06-3.28

Repeat the twelfth record exactly.
This record from OQMD via LeMat-Bulk describes a geometry-optimized LiErHgTe3 structure. The functional is PBE.

Properties
- Energy: -3.491 eV/atom
- Space-group type: Pnma
- Magnetic moment: 0.001 μB per atom

Cell lengths 11.5742, 4.3014, 14.6027 Å; angles 90.00, 90.00, 90.00 degrees
Last column: nearest neighbours and their distance in Å.
Element x y z (fractional)
Li (0.2131, 0.7500, 0.5401)  2 Te 3.00
Li (0.7869, 0.2500, 0.4599)  2 Te 3.00
Li (0.2869, 0.2500, 0.0401)  2 Te 3.00
Li (0.7131, 0.7500, 0.9599)  2 Te 3.00
Te (0.7551, 0.2500, 0.1478)  2 Hg 2.85
Te (0.0625, 0.7500, 0.1043)  1 Hg 2.80, 2 Er 3.06
Te (0.9375, 0.2500, 0.8957)  1 Hg 2.80, 2 Er 3.06
Te (0.2449, 0.7500, 0.8522)  2 Hg 2.85
Te (0.5528, 0.2500, 0.8928)  1 Hg 2.84, 2 Li 3.00, 2 Er 3.11
Te (0.5625, 0.7500, 0.3957)  1 Hg 2.80, 2 Er 3.06
Te (0.7449, 0.7500, 0.6478)  2 Hg 2.85
Te (0.4375, 0.2500, 0.6043)  1 Hg 2.80, 2 Er 3.06
Te (0.2551, 0.2500, 0.3522)  2 Hg 2.85
Te (0.4472, 0.7500, 0.1072)  1 Hg 2.84, 2 Li 3.00, 2 Er 3.11
Te (0.0528, 0.2500, 0.6072)  1 Hg 2.84, 2 Li 3.00, 2 Er 3.11
Te (0.9472, 0.7500, 0.3928)  1 Hg 2.84, 2 Li 3.00, 2 Er 3.11
Hg (0.7486, 0.2500, 0.7757)  4 Te 2.80-2.85
Hg (0.2486, 0.2500, 0.7243)  4 Te 2.80-2.85
Hg (0.7514, 0.7500, 0.2757)  4 Te 2.80-2.85
Hg (0.2514, 0.7500, 0.2243)  4 Te 2.80-2.85
Er (0.9949, 0.7500, 0.7540)  6 Te 3.06-3.28
Er (0.4949, 0.7500, 0.7460)  6 Te 3.06-3.28
Er (0.5051, 0.2500, 0.2540)  6 Te 3.06-3.28
Er (0.0051, 0.2500, 0.2460)  6 Te 3.06-3.28